[1]
Here is crystalline Pr2DyY2Er4 at its relaxed geometry from the Alexandria database. Energies are from PBE-GGA.

abc: 3.6036 9.5189 9.5696
angles: 115.23 90.00 100.91
Positions (direct):
1 Pr 0.3348 0.6696 0.9988
2 Pr 0.6652 0.3304 0.0012
3 Dy 0.0000 0.0000 0.0000
4 Y 0.8536 0.7073 0.3384
5 Y 0.1464 0.2927 0.6616
6 Er 0.8148 0.6295 0.6627
7 Er 0.1852 0.3705 0.3373
8 Er 0.5196 0.0392 0.3347
9 Er 0.4804 0.9608 0.6653

DFT formation energy ... -1 kJ/mol of formula units
Size of the total moment ... 0.000 μB per atom
Calculated total energy ... -5.0396 eV/atom
D(E_F) ... 12.52 states/eV/cell

=====

[2]
Here is crystalline La12PrNd6 at its relaxed geometry from the Alexandria database. Energies are from PBE-GGA.

abc: 8.8798 8.8798 8.8798
angles: 89.14 89.14 89.14
Positions (direct):
1 La 0.7817 0.5354 0.4310
2 La 0.4310 0.7817 0.5354
3 La 0.5354 0.4310 0.7817
4 La 0.2183 0.4646 0.5690
5 La 0.5690 0.2183 0.4646
6 La 0.4646 0.5690 0.2183
7 La 0.0186 0.1937 0.3618
8 La 0.8063 0.6382 0.9814
9 La 0.6382 0.9814 0.8063
10 La 0.9814 0.8063 0.6382
11 La 0.1937 0.3618 0.0186
12 La 0.3618 0.0186 0.1937
13 Pr 0.0000 0.0000 0.0000
14 Nd 0.7388 0.9022 0.2995
15 Nd 0.7005 0.2612 0.0978
16 Nd 0.0978 0.7005 0.2612
17 Nd 0.2612 0.0978 0.7005
18 Nd 0.2995 0.7388 0.9022
19 Nd 0.9022 0.2995 0.7388

DFT formation energy ... 191 kJ/mol of formula units
Excess energy over the best structure of this formula in the dataset ... 90 meV/atom
Size of the total moment ... 0.000 μB per atom
Calculated total energy ... -4.7651 eV/atom
D(E_F) ... 30.26 states/eV/cell

=====

[3]
Here is crystalline ZrReAs2 at its relaxed geometry from the Alexandria database. Energies are from PBE-GGA.

abc: 4.0837 4.0837 9.5297
angles: 77.63 77.63 90.00
Positions (direct):
1 Re 0.0000 0.0000 0.0000
2 Re 0.7500 0.2500 0.5000
3 As 0.6597 0.1250 0.2500
4 As 0.0903 0.6250 0.2500
5 As 0.3750 0.3403 0.7500
6 As 0.8750 0.9097 0.7500
7 Zr 0.5000 0.5000 0.0000
8 Zr 0.2500 0.7500 0.5000

DFT formation energy ... 56 kJ/mol of formula units
Excess energy over the best structure of this formula in the dataset ... 551 meV/atom
Size of the total moment ... 0.000 μB per atom
Calculated total energy ... -7.4282 eV/atom
D(E_F) ... 6.48 states/eV/cell

=====

[4]
Here is crystalline CsLi2ThBr8 at its relaxed geometry from the Alexandria database. Energies are from PBE-GGA.

abc: 7.4913 7.4913 10.3659
angles: 91.86 91.86 61.15
Site moments in Bohr magnetons follow the coordinates.
Positions (direct):
1 Cs 0.0000 0.0000 0.5000  0.00
2 Li 0.6655 0.6655 0.2310  0.00
3 Li 0.3345 0.3345 0.7690  0.00
4 Th 0.0000 0.0000 0.0000  0.00
5 Br 0.7188 0.2308 0.8003  0.01
6 Br 0.7827 0.7827 0.0364  0.00
7 Br 0.7199 0.7199 0.4672  0.33
8 Br 0.2801 0.2801 0.5328  0.33
9 Br 0.2173 0.2173 0.9636  0.00
10 Br 0.2308 0.7188 0.8003  0.01
11 Br 0.7692 0.2812 0.1997  0.01
12 Br 0.2812 0.7692 0.1997  0.01

Size of the total moment ... 0.079 μB per atom
Calculated total energy ... -3.5764 eV/atom
Energy relative to the elements, uncorrected ... -1453 meV per atom
D(E_F) ... 6.41 states/eV/cell

=====

Question: Which of these has the highest D(E_F)?
Answer: La12PrNd6